1.
# Y3BiPb PBE relaxed
# ρ (g/cm³): 7.34
# Raw total energy (eV per atom): -5.93
# Energy relative to the lowest polymorph listed for this composition (eV per atom): 0.000
# Formation energy from the elements (eV/atom): -0.533
# Magnetization (Bohr magnetons per cell): 0.00
data_Y3BiPb
_space_group_name_H-M_alt 'P 1'
_space_group_IT_number 1
_space_group_name_Hall 'P 1'
_cell_length_a 10.780
_cell_length_b 10.780
_cell_length_c 6.504
_cell_angle_alpha 107.46
_cell_angle_beta 107.46
_cell_angle_gamma 25.44
loop_
_atom_site_label
_atom_site_type_symbol
_atom_site_fract_x
_atom_site_fract_y
_atom_site_fract_z
Y1 Y 0.000 0.000 0.242
Y2 Y 0.000 0.000 0.758
Y3 Y 0.198 0.198 0.197
Y4 Y 0.398 0.398 0.399
Y5 Y 0.602 0.602 0.601
Y6 Y 0.802 0.802 0.803
Bi1 Bi 0.408 0.408 0.909
Bi2 Bi 0.592 0.592 0.091
Pb1 Pb 0.195 0.195 0.694
Pb2 Pb 0.805 0.805 0.306

---

2.
# YBiPb2 PBE relaxed
# ρ (g/cm³): 9.05
# Raw total energy (eV per atom): -4.29
# Formation energy from the elements (eV/atom): 0.148
# Magnetization (Bohr magnetons per cell): 0.00
data_YBiPb2
_space_group_name_H-M_alt 'P 1'
_space_group_IT_number 1
_space_group_name_Hall 'P 1'
_cell_length_a 12.391
_cell_length_b 12.391
_cell_length_c 12.391
_cell_angle_alpha 16.30
_cell_angle_beta 16.30
_cell_angle_gamma 16.30
loop_
_atom_site_label
_atom_site_type_symbol
_atom_site_fract_x
_atom_site_fract_y
_atom_site_fract_z
Y1 Y 0.000 0.000 0.000
Bi1 Bi 0.500 0.500 0.500
Pb1 Pb 0.087 0.087 0.087
Pb2 Pb 0.913 0.913 0.913

---

3.
# Y7Bi2Pb2 PBE relaxed
# ρ (g/cm³): 6.55
# Raw total energy (eV per atom): -5.73
# Formation energy from the elements (eV/atom): -0.232
# Magnetization (Bohr magnetons per cell): 2.80
data_Y7Bi2Pb2
_space_group_name_H-M_alt 'P 1'
_space_group_IT_number 1
_space_group_name_Hall 'P 1'
_cell_length_a 7.159
_cell_length_b 7.159
_cell_length_c 7.341
_cell_angle_alpha 90.00
_cell_angle_beta 90.00
_cell_angle_gamma 101.49
loop_
_atom_site_label
_atom_site_type_symbol
_atom_site_fract_x
_atom_site_fract_y
_atom_site_fract_z
Y1 Y 0.000 0.000 0.000
Y2 Y 0.000 0.500 0.278
Y3 Y 0.000 0.500 0.722
Y4 Y 0.500 0.000 0.278
Y5 Y 0.500 0.000 0.722
Y6 Y 0.500 0.500 0.268
Y7 Y 0.500 0.500 0.732
Bi1 Bi 0.279 0.721 0.000
Bi2 Bi 0.721 0.279 0.000
Pb1 Pb 0.185 0.185 0.500
Pb2 Pb 0.815 0.815 0.500

---

4.
# YBiPb2 PBE relaxed
# ρ (g/cm³): 9.21
# Raw total energy (eV per atom): -4.55
# Formation energy from the elements (eV/atom): -0.107
# Magnetization (Bohr magnetons per cell): 0.00
data_YBiPb2
_space_group_name_H-M_alt 'P 1'
_space_group_IT_number 1
_space_group_name_Hall 'P 1'
_cell_length_a 7.080
_cell_length_b 7.080
_cell_length_c 7.080
_cell_angle_alpha 102.10
_cell_angle_beta 102.10
_cell_angle_gamma 125.50
loop_
_atom_site_label
_atom_site_type_symbol
_atom_site_fract_x
_atom_site_fract_y
_atom_site_fract_z
Y1 Y 0.000 0.000 0.000
Y2 Y 0.750 0.250 0.500
Bi1 Bi 0.250 0.750 0.500
Bi2 Bi 0.500 0.500 0.000
Pb1 Pb 0.127 0.125 0.502
Pb2 Pb 0.375 0.873 0.998
Pb3 Pb 0.623 0.625 0.498
Pb4 Pb 0.875 0.377 0.002